A plane-wave DFT calculation with PBE was carried out for a geometry-optimized Cs4SbI6 structure.

Lattice parameters (Å, degrees): 10.463 10.463 10.618 90.00 90.00 90.00
Each line ends with the local moment (μB).
Atoms (fractional coordinates):
Cs: 0.338 0.162 0.250  0.00
Cs: 0.162 0.662 0.750  0.00
Cs: 0.662 0.838 0.250  0.00
Cs: 0.162 0.662 0.250  0.00
Cs: 0.838 0.338 0.750  0.00
Cs: 0.838 0.338 0.250  0.00
Cs: 0.662 0.838 0.750  0.00
Cs: 0.338 0.162 0.750  0.00
I: 0.310 0.891 0.500  0.04
I: 0.609 0.190 0.000  0.04
I: 0.500 0.500 0.713  0.00
I: 0.109 0.310 0.500  0.04
I: 0.190 0.391 0.000  0.04
I: 0.690 0.109 0.500  0.04
I: 0.891 0.690 0.500  0.04
I: 0.391 0.810 0.000  0.04
I: 0.000 0.000 0.213  0.00
I: 0.810 0.609 0.000  0.04
I: 0.000 0.000 0.787  0.00
I: 0.500 0.500 0.287  0.00
Sb: 0.000 0.000 0.500  0.33
Sb: 0.500 0.500 0.000  0.33

Computed properties:
**Spin magnetization**: 1.0 μB/f.u.
**E_tot**: -2.642 eV/atom
**Uncorrected formation energy**: -107.3 kJ per mole of atoms